This record from the Alexandria database describes a relaxed Ni3PdS crystal. The functional is PBE.

Symmetry   Pm-3m (221)
Crystal system   cubic

```
data_Ni3PdS
_chemical_formula_sum 'Ni3 Pd1 S1'
_space_group_name_H-M_alt 'P 1'
_space_group_IT_number 1
_space_group_name_Hall 'P 1'
_cell_length_a 4.109
_cell_length_b 4.109
_cell_length_c 4.109
_cell_angle_alpha 90.00
_cell_angle_beta 90.00
_cell_angle_gamma 90.00
loop_
_atom_site_label
_atom_site_type_symbol
_atom_site_fract_x
_atom_site_fract_y
_atom_site_fract_z
_atom_site_occupancy
Ni1 Ni 0.000 0.000 0.500 1
Ni2 Ni 0.500 0.000 0.000 1
Ni3 Ni 0.000 0.500 0.000 1
S1 S 0.000 0.000 0.000 1
Pd1 Pd 0.500 0.500 0.500 1
```

***

This record from the Alexandria database describes a relaxed Ni3PdS crystal. The functional is PBE.

Symmetry   Pm-3m (221)
Crystal system   cubic

```
data_Ni3PdS
_chemical_formula_sum 'Ni3 Pd1 S1'
_space_group_name_H-M_alt 'P 1'
_space_group_IT_number 1
_space_group_name_Hall 'P 1'
_cell_length_a 4.561
_cell_length_b 4.561
_cell_length_c 4.561
_cell_angle_alpha 90.00
_cell_angle_beta 90.00
_cell_angle_gamma 90.00
loop_
_atom_site_label
_atom_site_type_symbol
_atom_site_fract_x
_atom_site_fract_y
_atom_site_fract_z
_atom_site_occupancy
Pd1 Pd 0.000 0.000 0.000 1
Ni1 Ni 0.000 0.500 0.000 1
Ni2 Ni 0.000 0.000 0.500 1
Ni3 Ni 0.500 0.000 0.000 1
S1 S 0.500 0.500 0.500 1
```

***

This record from the Alexandria database describes a relaxed NiSbPd2S crystal. The functional is PBE.

Symmetry   P4/mmm (123)
Crystal system   tetragonal

```
data_NiSbPd2S
_chemical_formula_sum 'Ni1 Sb1 Pd2 S1'
_space_group_name_H-M_alt 'P 1'
_space_group_IT_number 1
_space_group_name_Hall 'P 1'
_cell_length_a 4.414
_cell_length_b 5.283
_cell_length_c 4.414
_cell_angle_alpha 90.00
_cell_angle_beta 90.00
_cell_angle_gamma 90.00
loop_
_atom_site_label
_atom_site_type_symbol
_atom_site_fract_x
_atom_site_fract_y
_atom_site_fract_z
_atom_site_occupancy
Pd1 Pd 0.000 0.000 0.500 1
Pd2 Pd 0.500 0.000 0.000 1
Sb1 Sb 0.000 0.500 0.000 1
Ni1 Ni 0.500 0.500 0.500 1
S1 S 0.000 0.000 0.000 1
```

***

Uncorrected formation energy across the listed records, respectively: 0.0778, 1.3589, 0.4668 eV per atom.